Density functional theory data (GGA-PBE) for a relaxed CsAl2PRu crystal.

## Properties
E_form	0.036	eV/atom
theoretical density	4644	kg/m3
density of states at the Fermi level	0.642	states/eV per atom

Lattice parameters (Å, degrees): 4.9227 4.7056 4.9227 90.00 90.00 90.00
Closest atoms and distances in Å follow each position.
Fractional positions:
Al  0.5000  0.0000  0.0000  2 Ru 2.46
Al  0.0000  0.0000  0.5000  2 Ru 2.46
Cs  0.5000  0.5000  0.5000  8 Al 3.41, 4 P 3.48
Ru  0.0000  0.0000  0.0000  2 P 2.35, 4 Al 2.46
P  0.0000  0.5000  0.0000  2 Ru 2.35